1:
# Hf5Zr6

Hf5Zr6 after structural relaxation (PBE, Alexandria).

Output
Theoretical density (Mg/m³): 9.333
DOS at the Fermi energy (states/eV/cell): 12.3
V (Å³/cell): 256.2

Cell lengths 9.166, 7.567, 5.392 Å; angles 72.04, 59.39, 52.72 degrees
Fractional positions:
Hf  0.500  0.000  0.500
Hf  0.367  0.265  0.000
Hf  0.633  0.735  0.000
Hf  0.233  0.534  0.500
Hf  0.767  0.466  0.500
Zr  0.818  0.000  0.594
Zr  0.182  0.000  0.406
Zr  0.322  0.722  0.894
Zr  0.956  0.722  0.106
Zr  0.678  0.278  0.106
Zr  0.044  0.278  0.894

=====

2:
# Hf5Zr6

Hf5Zr6 after structural relaxation (PBE, Alexandria).

Output
Theoretical density (Mg/m³): 9.378
DOS at the Fermi energy (states/eV/cell): 11.3
V (Å³/cell): 254.9

Cell lengths 4.859, 8.376, 8.376 Å; angles 116.37, 106.88, 106.88 degrees
Fractional positions:
Hf  0.500  0.500  0.500
Hf  0.000  0.656  0.344
Hf  0.000  0.344  0.656
Hf  0.500  0.795  0.205
Hf  0.500  0.205  0.795
Zr  0.711  0.211  0.211
Zr  0.289  0.789  0.789
Zr  0.797  0.657  0.936
Zr  0.203  0.064  0.343
Zr  0.203  0.343  0.064
Zr  0.797  0.936  0.657

=====

Stability comparison, relative energies in eV/atom: 1 0.005; 2 0.000

=====

1:
# Hf5Zr7

Hf5Zr7 after structural relaxation (PBE, Alexandria).

Output
Theoretical density (Mg/m³): 9.250
DOS at the Fermi energy (states/eV/cell): 17.7
V (Å³/cell): 274.9

Cell lengths 4.485, 7.137, 9.586 Å; angles 72.77, 76.47, 71.69 degrees
Fractional positions:
Hf  0.669  0.662  0.999
Hf  0.916  0.414  0.753
Hf  0.333  0.336  0.999
Hf  0.750  0.253  0.247
Hf  0.581  0.086  0.752
Zr  0.999  0.003  0.998
Zr  0.415  0.921  0.248
Zr  0.832  0.835  0.501
Zr  0.250  0.747  0.753
Zr  0.087  0.579  0.247
Zr  0.501  0.496  0.502
Zr  0.166  0.168  0.501

=====

2:
# Hf5Zr7

Hf5Zr7 after structural relaxation (PBE, Alexandria).

Output
Theoretical density (Mg/m³): 9.133
DOS at the Fermi energy (states/eV/cell): 17.7
V (Å³/cell): 278.4

Cell lengths 5.054, 5.057, 12.961 Å; angles 102.10, 90.00, 119.98 degrees
Fractional positions:
Hf  0.146  0.293  0.442
Hf  0.854  0.707  0.558
Hf  0.393  0.787  0.199
Hf  0.607  0.213  0.801
Hf  0.000  0.000  0.000
Zr  0.229  0.458  0.676
Zr  0.771  0.542  0.324
Zr  0.065  0.129  0.215
Zr  0.935  0.871  0.785
Zr  0.688  0.376  0.080
Zr  0.500  0.000  0.500
Zr  0.312  0.624  0.920

=====

Stability comparison, relative energies in eV/atom: 1 0.000; 2 0.167

=====

1:
# Hf4Zr3

Hf4Zr3 after structural relaxation (PBE, Alexandria).

Output
Theoretical density (Mg/m³): 10.262
DOS at the Fermi energy (states/eV/cell): 10.4
V (Å³/cell): 319.6

Cell lengths 5.103, 8.505, 8.505 Å; angles 120.00, 90.00, 90.00 degrees
Fractional positions:
Hf  0.250  0.480  0.097
Hf  0.750  0.520  0.903
Hf  0.250  0.333  0.667
Hf  0.750  0.097  0.617
Hf  0.250  0.617  0.520
Hf  0.750  0.383  0.480
Hf  0.250  0.903  0.383
Hf  0.750  0.667  0.333
Zr  0.750  0.241  0.049
Zr  0.250  0.759  0.951
Zr  0.250  0.049  0.808
Zr  0.750  0.808  0.759
Zr  0.250  0.192  0.241
Zr  0.750  0.951  0.192

=====

2:
# Hf4Zr3

Hf4Zr3 after structural relaxation (PBE, Alexandria).

Output
Theoretical density (Mg/m³): 10.300
DOS at the Fermi energy (states/eV/cell): 10.6
V (Å³/cell): 159.2

Cell lengths 3.184, 4.467, 11.525 Å; angles 101.17, 97.94, 90.00 degrees
Fractional positions:
Hf  0.715  0.215  0.430
Hf  0.285  0.785  0.570
Hf  0.429  0.929  0.858
Hf  0.571  0.071  0.142
Zr  0.857  0.357  0.713
Zr  0.000  0.500  0.000
Zr  0.143  0.643  0.287

=====

Stability comparison, relative energies in eV/atom: 1 0.000; 2 0.059

=====

1:
# Ho5Hg

Ho5Hg after structural relaxation (PBE, Alexandria).

Output
Theoretical density (Mg/m³): 9.908
DOS at the Fermi energy (states/eV/cell): 6.7
V (Å³/cell): 171.8

Cell lengths 4.790, 4.792, 7.861 Å; angles 107.75, 90.00, 90.00 degrees
Fractional positions:
Hg  0.000  0.000  0.000
Ho  0.500  0.831  0.663
Ho  0.000  0.662  0.325
Ho  0.500  0.500  0.000
Ho  0.000  0.338  0.675
Ho  0.500  0.169  0.337

=====

2:
# Ho5Hg

Ho5Hg after structural relaxation (PBE, Alexandria).

Output
Theoretical density (Mg/m³): 9.686
DOS at the Fermi energy (states/eV/cell): 8.4
V (Å³/cell): 175.8

Cell lengths 3.547, 3.547, 13.971 Å; angles 90.00, 90.00, 90.00 degrees
Fractional positions:
Ho  0.000  0.000  0.644
Ho  0.500  0.500  0.823
Ho  0.000  0.000  0.000
Ho  0.500  0.500  0.177
Ho  0.000  0.000  0.356
Hg  0.500  0.500  0.500

=====

Stability comparison, relative energies in eV/atom: 1 0.048; 2 0.000

=====

1:
# Ho3Hg

Ho3Hg after structural relaxation (PBE, Alexandria).

Output
Theoretical density (Mg/m³): 10.154
DOS at the Fermi energy (states/eV/cell): 4.6
V (Å³/cell): 113.7

Cell lengths 3.578, 3.578, 8.881 Å; angles 90.00, 90.00, 90.00 degrees
Fractional positions:
Ho  0.000  0.000  0.500
Ho  0.500  0.500  0.224
Ho  0.500  0.500  0.776
Hg  0.000  0.000  0.000

=====

2:
# Ho3Hg

Ho3Hg after structural relaxation (PBE, Alexandria).

Output
Theoretical density (Mg/m³): 10.553
DOS at the Fermi energy (states/eV/cell): 5.3
V (Å³/cell): 109.4

Cell lengths 4.783, 4.783, 4.783 Å; angles 90.00, 90.00, 90.00 degrees
Each line ends with the local moment (μB).
Fractional positions:
Hg  0.500  0.500  0.500  0.00
Ho  0.500  0.000  0.000  0.13
Ho  0.000  0.500  0.000  0.13
Ho  0.000  0.000  0.500  0.13

=====

Stability comparison, relative energies in eV/atom: 1 0.000; 2 0.073

=====

1:
# Ho4Hg3

Ho4Hg3 after structural relaxation (PBE, Alexandria).

Output
Theoretical density (Mg/m³): 10.784
DOS at the Fermi energy (states/eV/cell): 7.6
V (Å³/cell): 194.2

Cell lengths 5.165, 5.165, 8.921 Å; angles 73.17, 73.17, 60.00 degrees
Fractional positions:
Ho  0.621  0.621  0.137
Ho  0.873  0.873  0.382
Ho  0.127  0.127  0.618
Ho  0.379  0.379  0.863
Hg  0.248  0.248  0.256
Hg  0.752  0.752  0.744
Hg  0.000  0.000  0.000

=====

2:
# Ho4Hg3

Ho4Hg3 after structural relaxation (PBE, Alexandria).

Output
Theoretical density (Mg/m³): 10.100
DOS at the Fermi energy (states/eV/cell): 11.2
V (Å³/cell): 207.4

Cell lengths 4.961, 4.961, 10.144 Å; angles 75.85, 75.85, 60.00 degrees
Each line ends with the local moment (μB).
Fractional positions:
Ho  0.703  0.703  0.890  0.04
Ho  0.879  0.879  0.364  0.13
Ho  0.297  0.297  0.110  0.04
Ho  0.121  0.121  0.636  0.13
Hg  0.500  0.500  0.500  0.03
Hg  0.600  0.600  0.199  0.01
Hg  0.400  0.400  0.801  0.01

=====

Stability comparison, relative energies in eV/atom: 1 0.000; 2 0.158

=====

1:
# HoHgI3

HoHgI3 after structural relaxation (PBE, Alexandria).

Output
Theoretical density (Mg/m³): 5.305
DOS at the Fermi energy (states/eV/cell): 0.0
V (Å³/cell): 934.4

Cell lengths 7.704, 11.175, 11.175 Å; angles 76.23, 89.79, 89.79 degrees
Fractional positions:
Ho  0.929  0.331  0.169
Ho  0.571  0.831  0.669
Ho  0.071  0.669  0.831
Ho  0.429  0.169  0.331
Hg  0.250  0.224  0.776
Hg  0.750  0.776  0.224
Hg  0.250  0.723  0.277
Hg  0.750  0.277  0.723
I  0.644  0.169  0.102
I  0.856  0.898  0.831
I  0.356  0.831  0.898
I  0.144  0.102  0.169
I  0.760  0.532  0.968
I  0.740  0.032  0.468
I  0.240  0.468  0.032
I  0.260  0.968  0.532
I  0.642  0.398  0.331
I  0.858  0.669  0.602
I  0.358  0.602  0.669
I  0.142  0.331  0.398

=====

2:
# HoHgI3

HoHgI3 after structural relaxation (PBE, Alexandria).

Output
Theoretical density (Mg/m³): 5.681
DOS at the Fermi energy (states/eV/cell): 0.0
V (Å³/cell): 218.1

Cell lengths 6.020, 6.020, 6.020 Å; angles 90.00, 90.00, 90.00 degrees
Fractional positions:
I  0.000  0.500  0.000
I  0.000  0.000  0.500
I  0.500  0.000  0.000
Hg  0.500  0.500  0.500
Ho  0.000  0.000  0.000

=====

Stability comparison, relative energies in eV/atom: 1 0.000; 2 0.067

=====

1:
# Ho2HgI

Ho2HgI after structural relaxation (PBE, Alexandria).

Output
Theoretical density (Mg/m³): 9.599
DOS at the Fermi energy (states/eV/cell): 3.0
V (Å³/cell): 113.7

Cell lengths 3.793, 3.793, 9.385 Å; angles 78.34, 78.34, 60.00 degrees
Fractional positions:
Ho  0.081  0.081  0.758
Ho  0.253  0.253  0.242
Hg  0.667  0.667  0.000
I  0.500  0.500  0.501

=====

2:
# Ho2HgI

Ho2HgI after structural relaxation (PBE, Alexandria).

Output
Theoretical density (Mg/m³): 9.033
DOS at the Fermi energy (states/eV/cell): 2.9
V (Å³/cell): 120.8

Cell lengths 4.276, 4.276, 8.022 Å; angles 74.54, 74.54, 60.00 degrees
Fractional positions:
I  0.500  0.500  0.500
Hg  0.000  0.000  0.000
Ho  0.262  0.262  0.213
Ho  0.738  0.738  0.787

=====

Stability comparison, relative energies in eV/atom: 1 0.000; 2 0.025